DFT (PBEsol) results for a geometry-optimized Cs2KPS structure.

## Properties
The total moment comes out at 0.00 Bohr magnetons per cell. The value obtained for the energy is -13.5 eV for the cell shown. The raw formation energy is -0.05 eV per atom. As for the space group: P4/mmm, No. 123.

abc: 6.9433 6.9433 4.6581
angles: 90.00 90.00 90.00
Last column: nearest neighbours and their distance in Å.
Atoms (fractional coordinates):
Cs1 0.0000 0.5000 0.0000  2 P 3.47
Cs2 0.5000 0.0000 0.0000  2 P 3.47
K1 0.0000 0.0000 0.5000  8 Cs 4.18, 2 K 4.66
P1 0.5000 0.5000 0.0000  2 S 2.33
S1 0.5000 0.5000 0.5000  2 P 2.33